Record 1
The following is a PBE-GGA calculation of a relaxed MgHgP2O crystal, from Alexandria.

Lattice parameters (Å, degrees): 5.1096 5.1096 4.0697 90.00 90.00 90.00
Closest atoms and distances in Å follow each position.
Fractional coordinates of all 5 atoms:
1 Hg 0.0000 0.0000 0.0000  2 O 2.03
2 O 0.0000 0.0000 0.5000  2 Hg 2.03
3 P 0.5000 0.0000 0.0000  2 Hg 2.55
4 P 0.0000 0.5000 0.0000  2 Hg 2.55
5 Mg 0.5000 0.5000 0.5000  8 P 3.27, 4 O 3.61

Values from the calculation:
Its size of the total moment is 0.728 μB/cell. The value obtained for the total energy is -13.82 eV per cell. Its excess energy over the best structure of this formula in the dataset is 0.4550 eV/atom. Its space group is P4/mmm (123). Its density of states at the Fermi level is 1.03 states/eV per atom. As for the calculated volume: 106.25 Å³/cell.



Record 2
The following is a PBE-GGA calculation of a relaxed MgHgP2O crystal, from Alexandria.

Lattice parameters (Å, degrees): 5.1391 5.1391 3.6280 90.00 90.00 90.00
Closest atoms and distances in Å follow each position.
Fractional coordinates of all 5 atoms:
1 Hg 0.5000 0.5000 0.5000  8 P 3.15
2 P 0.5000 0.0000 0.0000  2 Mg 2.57
3 P 0.0000 0.5000 0.0000  2 Mg 2.57
4 O 0.0000 0.0000 0.5000  2 Mg 1.81
5 Mg 0.0000 0.0000 0.0000  2 O 1.81

Values from the calculation:
Its size of the total moment is 0.000 μB/cell. The value obtained for the total energy is -16.09 eV per cell. Its excess energy over the best structure of this formula in the dataset is 0.0000 eV/atom. Its space group is P4/mmm (123). Its density of states at the Fermi level is 0.74 states/eV per atom. As for the calculated volume: 95.82 Å³/cell.



Record 3
The following is a PBE-GGA calculation of a relaxed MgPaHgO6 crystal, from Alexandria.

Lattice parameters (Å, degrees): 4.8228 5.3631 5.3631 120.00 90.00 90.00
Closest atoms and distances in Å follow each position.
Fractional coordinates of all 9 atoms:
1 O 0.7410 0.3425 0.0029  1 Mg 2.11, 1 Hg 2.17, 1 Pa 2.17
2 O 0.7410 0.6604 0.6575  1 Mg 2.11, 1 Hg 2.17, 1 Pa 2.17
3 O 0.7410 0.9971 0.3396  1 Mg 2.11, 1 Hg 2.17, 1 Pa 2.17
4 O 0.2590 0.9971 0.6575  1 Mg 2.11, 1 Hg 2.17, 1 Pa 2.17
5 O 0.2590 0.3425 0.3396  1 Mg 2.11, 1 Hg 2.17, 1 Pa 2.17
6 O 0.2590 0.6604 0.0029  1 Mg 2.11, 1 Hg 2.17, 1 Pa 2.17
7 Hg 0.5000 0.0000 0.0000  6 O 2.17
8 Pa 0.0000 0.3333 0.6667  6 O 2.17
9 Mg 0.5000 0.6667 0.3333  6 O 2.11

Values from the calculation:
Its size of the total moment is 0.709 μB/cell. The value obtained for the total energy is -56.70 eV per cell. Its space group is P312 (149). Its density of states at the Fermi level is 0.55 states/eV per atom. As for the calculated volume: 120.13 Å³/cell.



Record 4
The following is a PBE-GGA calculation of a relaxed MgPaHg2O6 crystal, from Alexandria.

Lattice parameters (Å, degrees): 5.6850 5.6855 5.9791 89.99 118.39 120.01
Closest atoms and distances in Å follow each position.
Fractional coordinates of all 10 atoms:
1 Pa 0.9965 0.9978 0.9802  6 O 2.19
2 O 0.8822 0.6328 0.7243  1 Mg 2.13, 1 Pa 2.19, 1 Hg 2.21
3 O 0.5032 0.1393 0.2360  1 Mg 2.13, 1 Pa 2.19, 1 Hg 2.21
4 O 0.1059 0.2487 0.7245  1 Mg 2.13, 1 Pa 2.19, 1 Hg 2.21
5 O 0.1109 0.3627 0.2362  1 Mg 2.13, 1 Pa 2.19, 1 Hg 2.21
6 O 0.4899 0.8562 0.7244  1 Mg 2.13, 1 Pa 2.19, 1 Hg 2.21
7 O 0.8872 0.7469 0.2360  1 Mg 2.13, 1 Pa 2.19, 1 Hg 2.21
8 Hg 0.4849 0.2419 0.7127  3 O 2.21
9 Hg 0.5084 0.7537 0.2481  3 O 2.21
10 Mg 0.9965 0.4977 0.4801  6 O 2.13

Values from the calculation:
Its size of the total moment is 0.035 μB/cell. The value obtained for the total energy is -59.14 eV per cell. Its space group is R-3 (148). Its density of states at the Fermi level is 0.79 states/eV per atom. As for the calculated volume: 139.88 Å³/cell.



Record 5
The following is a PBE-GGA calculation of a relaxed MgPa2HgO8 crystal, from Alexandria.

Lattice parameters (Å, degrees): 6.1791 6.1791 5.4065 90.00 90.00 120.00
Closest atoms and distances in Å follow each position.
Fractional coordinates of all 12 atoms:
1 Pa 0.6667 0.3333 0.0821  1 O 1.90
2 Pa 0.3333 0.6667 0.9179  1 O 1.90
3 O 0.3475 0.2992 0.8158  1 Hg 2.25, 2 Pa 2.36-2.38
4 O 0.7008 0.0483 0.8158  1 Hg 2.25, 2 Pa 2.36-2.38
5 O 0.0483 0.3475 0.1842  1 Hg 2.25, 2 Pa 2.36-2.38
6 O 0.2992 0.9517 0.1842  1 Hg 2.25, 2 Pa 2.36-2.38
7 O 0.6667 0.3333 0.4327  1 Pa 1.90
8 O 0.6525 0.7008 0.1842  1 Hg 2.25, 2 Pa 2.36-2.38
9 O 0.9517 0.6525 0.8158  1 Hg 2.25, 2 Pa 2.36-2.38
10 O 0.3333 0.6667 0.5673  1 Pa 1.90
11 Mg 0.0000 0.0000 0.5000  6 O 2.64, 2 Hg 2.70
12 Hg 0.0000 0.0000 0.0000  6 O 2.25

Values from the calculation:
Its size of the total moment is 1.877 μB/cell. The value obtained for the total energy is -83.03 eV per cell. Its space group is P-3 (147). Its density of states at the Fermi level is 0.53 states/eV per atom. As for the calculated volume: 178.77 Å³/cell.



Record 6
The following is a PBE-GGA calculation of a relaxed MgHgPbO4 crystal, from Alexandria.

Lattice parameters (Å, degrees): 6.4447 6.5640 6.7670 121.03 90.00 119.40
Closest atoms and distances in Å follow each position.
Fractional coordinates of all 14 atoms:
1 Hg 0.1504 0.3007 0.9004  4 O 2.24-2.32
2 Hg 0.8496 0.6993 0.0996  4 O 2.24-2.32
3 Pb 0.5000 0.0000 0.5000  6 O 2.18-2.25
4 Pb 0.5000 0.0000 0.0000  6 O 2.18-2.25
5 O 0.2566 0.9694 0.7347  1 Mg 2.17, 2 Pb 2.25, 1 Hg 2.32
6 O 0.7349 0.4699 0.2766  2 Mg 2.15, 1 Pb 2.18, 1 Hg 2.24
7 O 0.7128 0.9694 0.7347  1 Mg 2.17, 2 Pb 2.25, 1 Hg 2.32
8 O 0.2651 0.5301 0.7234  2 Mg 2.15, 1 Pb 2.18, 1 Hg 2.24
9 O 0.2872 0.0306 0.2653  1 Mg 2.17, 2 Pb 2.25, 1 Hg 2.32
10 O 0.7349 0.4699 0.6932  2 Mg 2.15, 1 Pb 2.18, 1 Hg 2.24
11 O 0.7434 0.0306 0.2653  1 Mg 2.17, 2 Pb 2.25, 1 Hg 2.32
12 O 0.2651 0.5301 0.3068  2 Mg 2.15, 1 Pb 2.18, 1 Hg 2.24
13 Mg 0.5000 0.5000 0.5000  6 O 2.15-2.17
14 Mg 0.0000 0.5000 0.5000  6 O 2.15-2.17

Values from the calculation:
Its size of the total moment is 0.000 μB/cell. The value obtained for the total energy is -68.12 eV per cell. Its space group is Imma (74). Its density of states at the Fermi level is 0.21 states/eV per atom. As for the calculated volume: 201.06 Å³/cell.



Record 7
The following is a PBE-GGA calculation of a relaxed PuMg2HgO6 crystal, from Alexandria.

Lattice parameters (Å, degrees): 5.4836 5.4836 5.8660 62.12 62.13 60.01
Closest atoms and distances in Å follow each position.
Fractional coordinates of all 10 atoms:
1 Pu 0.3204 0.3205 0.0386  6 O 2.08-2.09
2 O 0.7186 0.1487 0.7626  2 Mg 2.08-2.31, 1 Pu 2.08, 1 Hg 2.29
3 O 0.5982 0.2469 0.2337  2 Mg 2.07-2.21, 1 Pu 2.09
4 O 0.3702 0.7187 0.7627  2 Mg 2.08-2.31, 1 Pu 2.08, 1 Hg 2.29
5 O 0.2469 0.9211 0.2338  2 Mg 2.07-2.21, 1 Pu 2.09
6 O 0.1486 0.3702 0.7626  2 Mg 2.08-2.31, 1 Pu 2.08, 1 Hg 2.29
7 O 0.9212 0.5982 0.2337  2 Mg 2.07-2.21, 1 Pu 2.09
8 Hg 0.8006 0.8005 0.5985  6 O 2.29-2.53
9 Mg 0.0106 0.0106 0.9680  6 O 2.08-2.21
10 Mg 0.5263 0.5263 0.4209  6 O 2.07-2.31

Values from the calculation:
Its size of the total moment is 2.000 μB/cell. The value obtained for the total energy is -68.33 eV per cell. Its space group is R3 (146). Its density of states at the Fermi level is 0.62 states/eV per atom. As for the calculated volume: 128.59 Å³/cell.



Record 8
The following is a PBE-GGA calculation of a relaxed PuMgHg2O6 crystal, from Alexandria.

Lattice parameters (Å, degrees): 5.6454 5.6454 5.8405 90.00 118.90 120.00
Closest atoms and distances in Å follow each position.
Fractional coordinates of all 10 atoms:
1 Mg 0.9965 0.4977 0.4801  6 O 2.13
2 O 0.8907 0.6483 0.7288  1 Pu 2.09, 1 Mg 2.13, 1 Hg 2.25
3 O 0.4916 0.1433 0.2317  1 Pu 2.09, 1 Mg 2.13, 1 Hg 2.25
4 O 0.5015 0.8522 0.7288  1 Pu 2.09, 1 Mg 2.13, 1 Hg 2.25
5 O 0.8984 0.7540 0.2316  1 Pu 2.09, 1 Mg 2.13, 1 Hg 2.25
6 O 0.0946 0.2414 0.7288  1 Pu 2.09, 1 Mg 2.13, 1 Hg 2.25
7 O 0.1024 0.3473 0.2317  1 Pu 2.09, 1 Mg 2.13, 1 Hg 2.25
8 Hg 0.4845 0.2417 0.7121  3 O 2.25
9 Hg 0.5088 0.7539 0.2486  3 O 2.25
10 Pu 0.9966 0.9978 0.9803  6 O 2.09

Values from the calculation:
Its size of the total moment is 2.000 μB/cell. The value obtained for the total energy is -62.28 eV per cell. Its space group is R-3 (148). Its density of states at the Fermi level is 0.59 states/eV per atom. As for the calculated volume: 133.76 Å³/cell.



Record 9
The following is a PBE-GGA calculation of a relaxed Mg2Hg2RuO6 crystal, from Alexandria.

Lattice parameters (Å, degrees): 5.4403 5.4403 6.3186 84.29 84.29 120.43
Closest atoms and distances in Å follow each position.
Fractional coordinates of all 11 atoms:
1 O 0.9504 0.2820 0.6707  1 Hg 2.05, 1 Ru 2.07, 2 Mg 2.13-2.14
2 O 0.7180 0.0496 0.3293  1 Hg 2.05, 1 Ru 2.07, 2 Mg 2.13-2.14
3 O 0.6555 0.6555 0.6601  1 Ru 1.93, 2 Mg 2.08
4 O 0.3445 0.3445 0.3399  1 Ru 1.93, 2 Mg 2.08
5 O 0.2820 0.9504 0.6707  1 Hg 2.05, 1 Ru 2.07, 2 Mg 2.13-2.14
6 O 0.0496 0.7180 0.3293  1 Hg 2.05, 1 Ru 2.07, 2 Mg 2.13-2.14
7 Hg 0.1626 0.8374 0.0000  2 O 2.05
8 Hg 0.8374 0.1626 0.0000  2 O 2.05
9 Mg 0.3404 0.6596 0.5000  6 O 2.08-2.14
10 Mg 0.6596 0.3404 0.5000  6 O 2.08-2.14
11 Ru 0.0000 0.0000 0.5000  6 O 1.93-2.07

Values from the calculation:
Its size of the total moment is 1.986 μB/cell. The value obtained for the total energy is -57.17 eV per cell. Its space group is C2/m (12). Its density of states at the Fermi level is 0.07 states/eV per atom. As for the calculated volume: 157.99 Å³/cell.



Record 10
The following is a PBE-GGA calculation of a relaxed Mg2Hg2SbO6 crystal, from Alexandria.

Lattice parameters (Å, degrees): 5.4773 5.4773 6.4461 86.44 86.44 120.02
Closest atoms and distances in Å follow each position.
Fractional coordinates of all 11 atoms:
1 Mg 0.6598 0.3402 0.5000  6 O 2.10-2.17
2 Mg 0.3402 0.6598 0.5000  6 O 2.10-2.17
3 O 0.0334 0.7059 0.3327  1 Sb 2.07, 2 Mg 2.16-2.17, 1 Hg 2.18
4 O 0.7059 0.0334 0.3327  1 Sb 2.07, 2 Mg 2.16-2.17, 1 Hg 2.18
5 O 0.9666 0.2941 0.6673  1 Sb 2.07, 2 Mg 2.16-2.17, 1 Hg 2.18
6 O 0.2941 0.9666 0.6673  1 Sb 2.07, 2 Mg 2.16-2.17, 1 Hg 2.18
7 O 0.3318 0.3318 0.3437  1 Sb 1.97, 2 Mg 2.10
8 O 0.6682 0.6682 0.6563  1 Sb 1.97, 2 Mg 2.10
9 Sb 0.0000 0.0000 0.5000  6 O 1.97-2.07
10 Hg 0.8289 0.1711 0.0000  2 O 2.18
11 Hg 0.1711 0.8289 0.0000  2 O 2.18

Values from the calculation:
Its size of the total moment is 0.000 μB/cell. The value obtained for the total energy is -53.71 eV per cell. Its space group is C2/m (12). Its density of states at the Fermi level is 0.21 states/eV per atom. As for the calculated volume: 166.15 Å³/cell.



Record 11
The following is a PBE-GGA calculation of a relaxed Sr2MgHgO crystal, from Alexandria.

Lattice parameters (Å, degrees): 5.3359 5.3359 4.2960 90.00 90.00 90.00
Closest atoms and distances in Å follow each position.
Fractional coordinates of all 5 atoms:
1 Sr 0.5000 0.0000 0.0000  2 O 2.67
2 Sr 0.0000 0.5000 0.0000  2 O 2.67
3 Mg 0.0000 0.0000 0.5000  2 O 2.15
4 Hg 0.5000 0.5000 0.5000  8 Sr 3.43, 4 Mg 3.77
5 O 0.0000 0.0000 0.0000  2 Mg 2.15

Values from the calculation:
Its size of the total moment is 0.000 μB/cell. The value obtained for the total energy is -16.12 eV per cell. Its space group is P4/mmm (123). Its density of states at the Fermi level is 0.47 states/eV per atom. As for the calculated volume: 122.31 Å³/cell.



Record 12
The following is a PBE-GGA calculation of a relaxed Mg2TcHgO crystal, from Alexandria.

Lattice parameters (Å, degrees): 5.3588 4.0472 5.3588 90.00 90.00 90.00
Closest atoms and distances in Å follow each position.
Fractional coordinates of all 5 atoms:
1 O 0.0000 0.5000 0.0000  2 Hg 2.02
2 Hg 0.0000 0.0000 0.0000  2 O 2.02
3 Tc 0.5000 0.5000 0.5000  8 Mg 3.36
4 Mg 0.5000 0.0000 0.0000  2 Hg 2.68
5 Mg 0.0000 0.0000 0.5000  2 Hg 2.68

Values from the calculation:
Its size of the total moment is 3.031 μB/cell. The value obtained for the total energy is -13.96 eV per cell. Its excess energy over the best structure of this formula in the dataset is 0.0000 eV/atom. Its space group is P4/mmm (123). Its density of states at the Fermi level is 0.86 states/eV per atom. As for the calculated volume: 116.22 Å³/cell.